[1]
This record from Alexandria via LeMat-Bulk describes crystalline Ca2AsO at its relaxed geometry. The functional is PBE.

```
4
Lattice="0.000 3.423 3.423 3.423 0.000 3.423 3.423 3.423 0.000" Properties=species:S:1:pos:R:3 pbc="T T T"
Ca 1.711 1.711 1.711
Ca 5.134 5.134 5.134
O 0.000 0.000 0.000
As 3.423 3.423 3.423
```

Summary:
excess energy over the best structure of this formula in the dataset	551.2	meV/atom
symmetry	Fm-3m
magnetic moment	0.25	μB/atom
formation energy from raw total energies	-1.166	eV per atom
calculated total energy	-4.57	eV per atom



[2]
This record from Alexandria via LeMat-Bulk describes crystalline Ca6As3O at its relaxed geometry. The functional is PBE.

```
20
Lattice="-1.270 0.883 6.705 7.579 -4.653 2.049 3.026 8.592 -0.559" Properties=species:S:1:pos:R:3 pbc="T T T"
As 4.245 3.850 3.297
As 4.645 1.282 7.242
As 6.962 5.505 7.463
As 1.806 -0.289 3.719
As 8.573 2.224 4.670
As 0.196 2.991 6.513
Ca 6.831 2.538 2.383
Ca 3.427 1.274 1.905
Ca 5.587 5.854 1.518
Ca 6.524 -3.417 6.290
Ca 6.344 -1.607 2.785
Ca 7.112 0.013 6.107
Ca 2.627 2.198 5.162
Ca 6.030 3.462 5.640
Ca 3.060 8.066 0.590
Ca 3.132 6.331 4.662
Ca 3.940 -1.165 5.662
Ca 2.415 4.676 1.073
O 6.045 -1.642 5.008
O 3.883 6.052 0.055
```

Summary:
symmetry	Cmc2_1
magnetic moment	0.04	μB/atom
formation energy from raw total energies	-1.411	eV per atom
calculated total energy	-4.50	eV per atom



[3]
This record from Alexandria via LeMat-Bulk describes crystalline CaAsO2 at its relaxed geometry. The functional is PBE.

```
8
Lattice="-0.788 -3.999 -2.517 4.614 -0.101 -1.285 3.167 -5.293 2.860" Properties=species:S:1:pos:R:3 pbc="T T T"
O 3.597 -1.783 -0.337
O 5.841 -7.560 -1.214
O 0.855 -3.939 -1.083
O 3.691 -5.505 0.753
Ca 1.913 -2.050 -1.901
Ca 4.847 -3.722 -0.162
As 2.146 -5.671 -0.778
As 0.000 0.000 0.000
```

Summary:
symmetry	I-42d
magnetic moment	0.00	μB/atom
formation energy from raw total energies	-1.402	eV per atom
calculated total energy	-5.54	eV per atom



[4]
This record from Alexandria via LeMat-Bulk describes crystalline CaAsO3 at its relaxed geometry. The functional is PBE.

```
10
Lattice="3.627 -0.007 0.002 0.012 5.187 -1.493 -0.006 -0.211 9.060" Properties=species:S:1:pos:R:3 pbc="T T T"
O 2.726 4.110 5.283
O 2.727 3.369 0.507
O 0.912 3.477 2.627
O 2.720 1.343 4.986
O 0.906 0.475 2.395
O 0.908 2.387 6.837
Ca 2.723 1.899 2.709
Ca 0.903 -0.030 5.753
As 2.722 2.643 6.226
As 0.914 3.918 0.885
```

Summary:
symmetry	Pm
magnetic moment	0.00	μB/atom
formation energy from raw total energies	-1.981	eV per atom
calculated total energy	-6.29	eV per atom



[5]
This record from Alexandria via LeMat-Bulk describes crystalline Ca3AsO5 at its relaxed geometry. The functional is PBE.

```
18
Lattice="-3.252 -3.864 4.235 5.475 -0.649 3.612 -2.587 6.855 -0.861" Properties=species:S:1:pos:R:3 pbc="T T T"
O 0.919 4.500 1.231
O -2.463 4.059 0.264
O -1.283 -2.157 5.756
O -3.004 1.998 3.097
O 2.639 0.345 3.890
O 1.111 -2.256 3.924
O 0.000 0.000 0.000
O 0.377 2.440 4.064
O 2.098 -1.716 6.723
O -0.742 -0.097 2.922
As 1.999 1.975 3.337
As -2.364 0.368 3.649
Ca 0.373 0.043 5.455
Ca 3.442 -1.756 4.296
Ca 1.080 -3.600 5.927
Ca -0.738 2.300 1.531
Ca -1.220 -2.756 3.551
Ca 1.143 -0.912 1.920
```

Summary:
symmetry	I4/mcm
magnetic moment	0.09	μB/atom
formation energy from raw total energies	-2.200	eV per atom
calculated total energy	-6.14	eV per atom



[6]
This record from Alexandria via LeMat-Bulk describes crystalline Ca3AsO4 at its relaxed geometry. The functional is PBE.

```
16
Lattice="4.765 0.000 0.000 0.000 7.071 0.000 0.000 0.000 8.072" Properties=species:S:1:pos:R:3 pbc="T T T"
O 0.823 5.667 4.036
O 2.607 4.753 6.144
O 2.607 4.753 1.928
O 0.249 5.786 0.000
O 2.631 1.285 4.036
O 0.225 2.318 5.964
O 3.206 1.404 0.000
O 0.225 2.318 2.108
Ca 2.624 2.376 2.118
Ca 0.241 4.696 6.154
Ca 0.252 0.958 4.036
Ca 2.635 6.113 0.000
Ca 0.241 4.696 1.918
Ca 2.624 2.376 5.954
As 0.199 1.880 0.000
As 2.581 5.191 4.036
```

Summary:
symmetry	Pmn2_1
magnetic moment	0.13	μB/atom
formation energy from raw total energies	-2.262	eV per atom
calculated total energy	-6.07	eV per atom



[7]
This record from Alexandria via LeMat-Bulk describes crystalline Ca2As2O7 at its relaxed geometry. The functional is PBE.

```
11
Lattice="5.932 -0.005 -0.001 -1.608 5.710 -0.001 0.610 0.805 4.876" Properties=species:S:1:pos:R:3 pbc="T T T"
Ca 1.013 4.357 2.437
Ca 3.921 2.153 2.437
O 2.799 3.693 1.039
O 0.048 2.415 1.362
O 2.313 0.699 1.362
O 0.000 0.000 0.000
O 2.136 2.818 3.836
O 2.622 5.811 3.512
O 4.887 4.095 3.512
As 3.900 5.146 4.420
As 1.034 1.364 0.454
```

Summary:
symmetry	C2/m
magnetic moment	0.00	μB/atom
formation energy from raw total energies	-2.066	eV per atom
calculated total energy	-6.43	eV per atom



[8]
This record from Alexandria via LeMat-Bulk describes crystalline CaAs2O at its relaxed geometry. The functional is PBE.

```
8
Lattice="5.268 0.000 0.000 0.000 5.268 0.000 2.634 2.634 6.575" Properties=species:S:1:pos:R:3 pbc="T T T"
O 2.634 5.268 3.287
O 2.634 2.634 0.000
Ca 0.000 0.000 0.000
Ca 5.268 2.634 3.287
As 2.635 3.951 1.644
As 3.951 5.269 4.931
As 6.585 5.266 4.931
As 2.632 1.317 1.644
```

Summary:
symmetry	I4_1/amd
magnetic moment	0.00	μB/atom
formation energy from raw total energies	-0.517	eV per atom
calculated total energy	-4.58	eV per atom



[9]
This record from Alexandria via LeMat-Bulk describes crystalline CaAsO3 at its relaxed geometry. The functional is PBE.

```
5
Lattice="-3.657 1.237 0.340 -0.025 -1.098 3.717 1.282 3.505 1.044" Properties=species:S:1:pos:R:3 pbc="T T T"
O 0.641 1.753 0.522
O -1.829 0.618 0.170
O -0.013 -0.549 1.858
Ca -1.200 1.822 2.550
As 0.000 0.000 0.000
```

Summary:
symmetry	Pm-3m
magnetic moment	0.00	μB/atom
formation energy from raw total energies	-1.781	eV per atom
calculated total energy	-6.09	eV per atom



[10]
This record from Alexandria via LeMat-Bulk describes crystalline Ca2AsO at its relaxed geometry. The functional is PBE.

```
8
Lattice="6.734 0.000 0.000 0.000 6.734 0.000 3.367 3.367 4.041" Properties=species:S:1:pos:R:3 pbc="T T T"
As 6.734 3.367 2.020
As 0.000 0.000 0.000
O 3.367 3.367 0.000
O 3.367 6.734 2.020
Ca 5.050 5.651 3.031
Ca 2.284 5.050 1.010
Ca 4.450 1.683 1.010
Ca 8.417 7.816 3.031
```

Summary:
excess energy over the best structure of this formula in the dataset	0.0	meV/atom
symmetry	I-42d
magnetic moment	0.25	μB/atom
formation energy from raw total energies	-1.718	eV per atom
calculated total energy	-5.12	eV per atom



[11]
This record from Alexandria via LeMat-Bulk describes crystalline CaAsO3 at its relaxed geometry. The functional is PBE.

```
10
Lattice="3.596 0.000 -0.161 0.000 5.852 0.000 -1.503 0.000 6.620" Properties=species:S:1:pos:R:3 pbc="T T T"
O 1.894 3.044 2.022
O 0.013 4.389 0.256
O 0.200 0.118 4.437
O 1.894 5.734 2.022
O 0.200 2.808 4.437
O 2.080 1.463 6.203
As 1.843 4.389 0.887
As 0.250 1.463 5.572
Ca 1.991 4.389 4.200
Ca 0.102 1.463 2.259
```

Summary:
symmetry	Cmcm
magnetic moment	0.00	μB/atom
formation energy from raw total energies	-2.026	eV per atom
calculated total energy	-6.33	eV per atom



[12]
This record from Alexandria via LeMat-Bulk describes crystalline Ca3As2O8 at its relaxed geometry. The functional is PBE.

```
91
Lattice="-6.662 -8.474 1.963 3.715 -8.737 5.468 -4.572 -0.360 13.506" Properties=species:S:1:pos:R:3 pbc="T T T"
O 2.022 -8.424 5.297
O -2.772 -4.519 11.303
O -4.020 -4.191 7.075
O 0.398 -10.329 7.701
O -3.922 -8.233 5.273
O -1.998 -15.771 7.570
O -8.602 -11.037 14.965
O -5.147 -4.302 9.940
O -5.330 -12.930 10.972
O -7.374 -11.044 12.502
O -4.457 -7.239 10.256
O -7.825 -13.029 17.347
O -2.751 -11.164 16.932
O -6.305 -9.647 3.183
O -1.092 -10.927 9.970
O -8.080 -8.566 11.549
O -4.212 -13.099 7.550
O -6.114 -5.860 12.348
O -1.498 -12.537 7.789
O -7.673 -6.381 14.579
O 0.314 -6.522 7.326
O -7.183 -8.358 8.707
O -5.636 -10.898 8.477
O -5.563 -9.334 14.220
O -2.561 -6.730 13.928
O -3.886 -4.495 14.892
O -1.738 -14.028 10.317
O -4.091 -1.080 12.028
O -6.488 -15.950 18.048
O -3.262 -9.530 8.941
O -2.799 -7.155 7.576
O -4.040 -12.620 14.820
O -2.849 -12.223 12.002
O -7.419 -8.615 16.124
O -2.515 -6.457 16.669
O -1.157 -8.726 6.042
O -5.917 -10.698 16.831
O -5.290 -15.053 15.600
O -1.248 -4.211 7.987
O -2.287 -1.908 6.526
O -2.457 -8.568 11.554
O -4.484 -8.343 16.573
O -6.381 -3.740 14.085
O -1.983 -6.291 4.980
O 0.671 -8.312 10.674
O -2.737 -3.929 3.583
O -7.409 -9.469 6.249
O -5.889 -6.209 7.514
O -6.766 -13.092 14.163
O -4.811 -10.802 5.864
O -2.312 -10.449 14.344
O -4.941 -13.164 18.351
O -4.923 -9.713 11.310
O -0.290 -8.715 13.672
O -0.086 -4.206 4.581
O -0.928 -6.252 9.717
Ca -4.963 -11.584 12.875
Ca -0.736 -8.405 8.518
Ca -6.646 -6.292 9.747
Ca 0.351 -10.307 5.224
Ca -2.380 -13.807 6.041
Ca -0.711 -6.920 11.985
Ca -5.820 -12.908 16.257
Ca -8.410 -8.735 13.904
Ca -7.126 -10.369 10.266
Ca -5.267 -8.688 7.181
Ca -3.229 -5.363 9.094
Ca -1.011 -10.492 12.317
Ca -2.029 -8.743 15.985
Ca -4.455 -3.465 12.622
Ca -3.836 -6.200 3.357
Ca -2.072 -4.105 5.825
Ca -3.926 -10.215 3.786
Ca -3.277 -12.256 9.568
Ca -4.563 -7.581 12.938
Ca -0.797 -2.726 2.652
Ca 0.535 -6.562 4.956
As -7.202 -5.146 13.498
As -5.514 -4.876 6.510
As -5.330 -11.870 7.098
As -1.696 -0.536 5.637
As -0.045 -5.346 8.519
As -2.956 -17.197 7.458
As -5.751 -16.405 16.562
As -2.576 -5.546 15.199
As -2.466 -7.624 5.961
As -5.807 -9.215 15.936
As -0.312 -11.611 8.605
As -2.613 -11.808 15.342
As -8.061 -12.059 13.691
As -3.739 -8.815 10.407
```

Summary:
excess energy over the best structure of this formula in the dataset	0.0	meV/atom
symmetry	R3
magnetic moment	0.00	μB/atom
formation energy from raw total energies	-2.274	eV per atom
calculated total energy	-6.50	eV per atom



[13]
This record from Alexandria via LeMat-Bulk describes crystalline CaAs3O9 at its relaxed geometry. The functional is PBE.

```
26
Lattice="-1.935 -4.632 5.433 -4.096 -2.031 -5.815 5.567 -4.911 -2.205" Properties=species:S:1:pos:R:3 pbc="T T T"
As 3.151 -8.726 1.358
As -1.308 -4.883 -4.859
As -3.341 -2.548 -3.928
As -1.519 -1.678 -0.096
As 0.573 -6.994 2.254
As -1.728 -7.441 -1.389
O -2.036 -5.961 -0.650
O -0.867 -5.095 -3.263
O 2.192 -4.180 0.130
O -0.673 -0.911 -1.474
O -2.464 -3.548 -5.117
O 0.409 -6.476 0.676
O -3.173 -3.070 -2.352
O 4.646 -5.761 -0.832
O -3.065 -7.617 -2.566
O -1.091 -3.301 -0.217
O -1.835 -8.860 -0.303
O 0.664 -10.495 -1.037
O 1.202 -3.134 -2.473
O 2.706 -8.510 -0.236
O -4.983 -5.342 -1.795
O -0.185 -7.557 -2.049
O 2.001 -8.027 2.529
O 2.387 -6.331 -2.259
Ca 0.458 -5.026 -1.250
Ca -3.704 -4.093 -0.235
```

Summary:
symmetry	C222_1
magnetic moment	0.08	μB/atom
formation energy from raw total energies	-1.321	eV per atom
calculated total energy	-5.98	eV per atom



[14]
This record from Alexandria via LeMat-Bulk describes crystalline Ca3AsO at its relaxed geometry. The functional is PBE.

```
20
Lattice="6.277 0.000 0.000 0.000 7.143 -0.196 0.000 -1.336 10.230" Properties=species:S:1:pos:R:3 pbc="T T T"
Ca 5.960 -0.521 6.703
Ca 2.824 0.703 5.808
Ca 1.215 3.656 6.153
Ca 1.923 4.324 1.038
Ca 5.963 4.435 9.341
Ca 3.453 5.103 4.226
Ca 2.821 5.659 8.447
Ca 4.354 1.482 8.997
Ca 5.062 2.150 3.882
Ca 0.315 1.371 0.693
Ca 3.456 0.147 1.588
Ca 0.317 6.327 3.332
O 4.662 -0.751 9.859
O 4.754 -0.083 4.744
O 1.615 6.557 0.176
O 1.523 5.889 5.291
As 1.805 2.166 3.419
As 4.944 4.308 1.500
As 4.473 3.640 6.615
As 1.334 1.498 8.534
```

Summary:
excess energy over the best structure of this formula in the dataset	0.0	meV/atom
symmetry	P2_1/c
magnetic moment	0.20	μB/atom
formation energy from raw total energies	-1.603	eV per atom
calculated total energy	-4.73	eV per atom



[15]
This record from Alexandria via LeMat-Bulk describes crystalline Ca3AsO at its relaxed geometry. The functional is PBE.

```
5
Lattice="4.716 0.000 0.000 0.000 4.716 0.000 0.000 0.000 4.716" Properties=species:S:1:pos:R:3 pbc="T T T"
O 0.000 0.000 0.000
Ca 0.000 2.358 0.000
Ca 0.000 0.000 2.358
Ca 2.358 0.000 0.000
As 2.358 2.358 2.358
```

Summary:
excess energy over the best structure of this formula in the dataset	5.3	meV/atom
symmetry	Pm-3m
magnetic moment	0.00	μB/atom
formation energy from raw total energies	-1.598	eV per atom
calculated total energy	-4.72	eV per atom



[16]
This record from Alexandria via LeMat-Bulk describes crystalline Ca3AsO6 at its relaxed geometry. The functional is PBE.

```
20
Lattice="5.172 0.000 0.000 0.000 7.640 -0.035 0.000 -1.739 7.439" Properties=species:S:1:pos:R:3 pbc="T T T"
O 1.091 2.074 2.434
O 1.091 3.991 4.840
O 3.409 4.354 0.822
O 3.677 3.828 4.970
O 3.409 6.071 2.977
O 3.569 0.183 5.908
O 0.823 -0.170 4.427
O 3.677 1.910 2.564
O 0.728 -1.172 6.987
O 0.983 5.718 1.497
O 0.823 1.548 6.583
O 3.314 7.073 0.417
As 2.703 5.808 1.425
As 0.117 0.093 5.980
Ca 2.286 2.018 4.446
Ca 2.456 2.171 0.651
Ca 5.042 3.730 6.753
Ca 4.872 3.883 2.959
Ca 5.042 0.150 2.261
Ca 2.456 5.751 5.143
```

Summary:
symmetry	Cmc2_1
magnetic moment	0.02	μB/atom
formation energy from raw total energies	-2.311	eV per atom
calculated total energy	-6.35	eV per atom



[17]
This record from Alexandria via LeMat-Bulk describes crystalline CaAsO3 at its relaxed geometry. The functional is PBE.

```
5
Lattice="4.171 0.000 0.000 0.000 4.171 0.000 0.000 0.000 4.171" Properties=species:S:1:pos:R:3 pbc="T T T"
O 2.085 0.000 0.000
O 0.000 0.000 2.085
O 0.000 2.085 0.000
As 2.085 2.085 2.085
Ca 0.000 0.000 0.000
```

Summary:
symmetry	Pm-3m
magnetic moment	0.20	μB/atom
formation energy from raw total energies	-0.185	eV per atom
calculated total energy	-4.49	eV per atom